(1)
The following is a GGA-PBE calculation of a geometry-optimized NdPdAu structure, from Alexandria.

Properties
- energy relative to the lowest polymorph listed for this composition (meV per atom) = 27.7
- energy relative to the elements (eV/atom) = -0.7514
- crystal system = tetragonal

Cell: 3.795 3.795 5.317 Å, 110.91 110.91 90.00°
Element x y z (fractional)
1 Au 0.284 0.284 0.568
2 Nd 0.615 0.615 0.229
3 Pd 0.951 0.951 0.902


(2)
The following is a GGA-PBE calculation of a geometry-optimized Li3Sn2Pd2 structure, from Alexandria.

Properties
- energy relative to the lowest polymorph listed for this composition (meV per atom) = 201.8
- energy relative to the elements (eV/atom) = -0.3908
- crystal system = monoclinic

Cell: 4.348 2.993 9.782 Å, 90.00 102.93 90.00°
Element x y z (fractional)
1 Li 0.282 0.000 0.565
2 Li 0.000 0.000 0.000
3 Li 0.718 0.000 0.435
4 Sn 0.417 0.500 0.831
5 Sn 0.583 0.500 0.169
6 Pd 0.136 0.000 0.273
7 Pd 0.864 0.000 0.727


(3)
The following is a GGA-PBE calculation of a geometry-optimized Ac2IrCl2 structure, from Alexandria.

Properties
- crystal system = trigonal

Cell: 4.340 4.340 10.843 Å, 78.46 78.46 60.00°
Element x y z (fractional)
1 Ac 0.613 0.613 0.162
2 Ac 0.387 0.387 0.838
3 Ir 0.000 0.000 0.000
4 Cl 0.222 0.222 0.333
5 Cl 0.778 0.778 0.667


(4)
The following is a GGA-PBE calculation of a geometry-optimized SmGa4CuIr2 structure, from Alexandria.

Properties
- energy relative to the elements (eV/atom) = -0.4484
- crystal system = trigonal

Cell: 4.284 4.284 8.937 Å, 76.13 76.13 60.00°
Element x y z (fractional)
1 Sm 0.000 0.000 0.000
2 Ga 0.400 0.400 0.801
3 Ga 0.870 0.870 0.391
4 Ga 0.130 0.130 0.609
5 Ga 0.600 0.600 0.199
6 Cu 0.500 0.500 0.500
7 Ir 0.768 0.768 0.695
8 Ir 0.232 0.232 0.305


(5)
The following is a GGA-PBE calculation of a geometry-optimized Sr2TmAgTe4 structure, from Alexandria.

Properties
- crystal system = monoclinic

Cell: 4.538 7.828 7.945 Å, 69.99 90.00 90.00°
Element x y z (fractional)
1 Sr 0.000 0.000 0.000
2 Sr 0.500 0.000 0.500
3 Tm 0.000 0.500 0.500
4 Ag 0.500 0.500 0.000
5 Te 0.000 0.719 0.757
6 Te 0.000 0.281 0.243
7 Te 0.500 0.728 0.265
8 Te 0.500 0.272 0.735


(6)
The following is a GGA-PBE calculation of a geometry-optimized YMg4Cd4 structure, from Alexandria.

Properties
- energy relative to the elements (eV/atom) = -0.0665
- crystal system = tetragonal

Cell: 6.571 6.571 9.969 Å, 90.00 90.00 90.00°
Element x y z (fractional)
1 Y 0.000 0.000 0.000
2 Y 0.500 0.500 0.500
3 Mg 0.220 0.500 0.925
4 Mg 0.780 0.500 0.925
5 Mg 0.500 0.780 0.075
6 Mg 0.500 0.220 0.075
7 Mg 0.000 0.720 0.425
8 Mg 0.000 0.280 0.425
9 Mg 0.280 0.000 0.575
10 Mg 0.720 0.000 0.575
11 Cd 0.500 0.768 0.781
12 Cd 0.500 0.232 0.781
13 Cd 0.768 0.500 0.219
14 Cd 0.232 0.500 0.219
15 Cd 0.268 0.000 0.281
16 Cd 0.732 0.000 0.281
17 Cd 0.000 0.268 0.719
18 Cd 0.000 0.732 0.719


(7)
The following is a GGA-PBE calculation of a geometry-optimized EuDyAl structure, from Alexandria.

Properties
- energy relative to the lowest polymorph listed for this composition (meV per atom) = 0.0
- energy relative to the elements (eV/atom) = -0.0699
- crystal system = trigonal

Cell: 3.502 5.224 5.224 Å, 120.00 90.00 90.00°
Site moments in Bohr magnetons follow the coordinates.
Element x y z (fractional)
1 Eu 0.979 0.000 0.000  6.84
2 Al 0.638 0.667 0.333  -0.02
3 Dy 0.383 0.333 0.667  0.02


(8)
The following is a GGA-PBE calculation of a geometry-optimized ZnTcTe2Mo structure, from Alexandria.

Properties
- crystal system = tetragonal

Cell: 5.237 4.899 5.237 Å, 90.00 90.00 90.00°
Site moments in Bohr magnetons follow the coordinates.
Element x y z (fractional)
1 Zn 0.000 0.500 0.000  0.01
2 Mo 0.000 0.000 0.000  0.03
3 Te 0.000 0.000 0.500  -0.02
4 Te 0.500 0.000 0.000  -0.04
5 Tc 0.500 0.500 0.500  3.46


(9)
The following is a GGA-PBE calculation of a geometry-optimized HfMgZrRu structure, from Alexandria.

Properties
- energy relative to the elements (eV/atom) = -0.1967
- crystal system = cubic

Cell: 4.752 4.752 4.752 Å, 60.00 60.00 60.00°
Element x y z (fractional)
1 Ru 0.750 0.750 0.750
2 Mg 0.250 0.250 0.250
3 Hf 0.000 0.000 0.000
4 Zr 0.500 0.500 0.500


(10)
The following is a GGA-PBE calculation of a geometry-optimized BaY2Tl structure, from Alexandria.

Properties
- energy relative to the lowest polymorph listed for this composition (meV per atom) = 177.8
- energy relative to the elements (eV/atom) = 0.0734
- crystal system = monoclinic

Cell: 6.293 7.069 3.631 Å, 75.70 88.72 116.07°
Element x y z (fractional)
1 Ba 0.000 0.500 0.500
2 Tl 0.500 0.500 0.000
3 Y 0.000 0.000 0.000
4 Y 0.500 0.000 0.500


(11)
The following is a GGA-PBE calculation of a geometry-optimized CrAgW2 structure, from Alexandria.

Properties
- energy relative to the lowest polymorph listed for this composition (meV per atom) = 231.0
- energy relative to the elements (eV/atom) = 0.6166
- crystal system = monoclinic

Cell: 4.797 4.797 5.099 Å, 84.12 84.12 32.02°
Element x y z (fractional)
1 Ag 0.502 0.502 0.494
2 Cr 0.248 0.248 0.251
3 W 0.998 0.998 0.007
4 W 0.752 0.752 0.749


(12)
The following is a GGA-PBE calculation of a geometry-optimized Ba2CuPd2O6 structure, from Alexandria.

Properties
- crystal system = trigonal

Cell: 6.034 6.034 6.532 Å, 62.49 62.49 60.00°
Element x y z (fractional)
1 Ba 0.781 0.781 0.657
2 Ba 0.219 0.219 0.343
3 Cu 0.000 0.000 0.000
4 Pd 0.414 0.414 0.758
5 Pd 0.586 0.586 0.242
6 O 0.772 0.772 0.243
7 O 0.214 0.772 0.243
8 O 0.772 0.214 0.243
9 O 0.228 0.786 0.757
10 O 0.786 0.228 0.757
11 O 0.228 0.228 0.757


We obtain final energy values of -5.16 -3.84 -5.71 -5.28 -4.14 -1.90 -6.28 -4.56 -7.54 -4.23 -8.98 -5.42 eV/atom for the records listed above, in that order.
We obtain size of the total moment values of 0.0 0.0 0.0 0.0 0.0 0.0 7.1 4.0 0.0 0.0 0.0 0.0 μB per cell for the records listed above, in that order.